Density functional theory data (PBE-GGA) for a relaxed structure of K2ZrGaBr6.

Cell lengths 8.013, 8.013, 8.013 Å; angles 60.00, 60.00, 60.00 degrees
Element x y z (fractional)
Br1 0.739 0.739 0.261
Br2 0.261 0.739 0.261
Br3 0.261 0.739 0.739
Br4 0.261 0.261 0.739
Br5 0.739 0.261 0.261
Br6 0.739 0.261 0.739
K1 0.250 0.250 0.250
K2 0.750 0.750 0.750
Zr1 0.500 0.500 0.500
Ga1 0.000 0.000 0.000

Values from the calculation:
SG: Fm-3m (225)
electronic total energy: -3.64 eV/atom
volume: 363.9 Å³/cell

Density functional theory data (PBE-GGA) for a relaxed structure of Ac2Ta2Au.

Cell lengths 12.183, 10.444, 7.169 Å; angles 85.38, 58.70, 35.91 degrees
Element x y z (fractional)
Ta1 0.406 0.594 0.406
Ta2 0.656 0.844 0.656
Ta3 0.844 0.656 0.844
Ta4 0.594 0.406 0.594
Ac1 0.625 0.125 0.125
Ac2 0.125 0.125 0.625
Ac3 0.125 0.125 0.125
Ac4 0.125 0.625 0.125
Au1 0.000 0.000 0.000
Au2 0.250 0.250 0.250

Values from the calculation:
SG: Fddd (70)
electronic total energy: -6.11 eV/atom
volume: 335.7 Å³/cell

Density functional theory data (PBE-GGA) for a relaxed structure of PrAlPt.

Cell lengths 4.970, 4.970, 6.046 Å; angles 90.00, 90.00, 120.00 degrees
Element x y z (fractional)
Al1 0.667 0.333 0.750
Al2 0.333 0.667 0.250
Pr1 0.333 0.667 0.750
Pr2 0.667 0.333 0.250
Pt1 0.000 0.000 0.500
Pt2 0.000 0.000 0.000

Values from the calculation:
SG: P6_3/mmc (194)
electronic total energy: -5.19 eV/atom
volume: 129.3 Å³/cell

Density functional theory data (PBE-GGA) for a relaxed structure of YHoAl3Si2.

Cell lengths 5.469, 5.469, 6.613 Å; angles 100.23, 100.23, 43.40 degrees
Element x y z (fractional)
Al1 0.305 0.305 0.634
Al2 0.695 0.695 0.367
Al3 0.001 0.001 0.501
Si1 0.093 0.093 0.140
Si2 0.907 0.907 0.859
Y1 0.380 0.380 0.178
Ho1 0.620 0.620 0.822

Values from the calculation:
SG: Cm (8)
electronic total energy: -5.28 eV/atom
volume: 133.4 Å³/cell

Density functional theory data (PBE-GGA) for a relaxed structure of ZrBeFeGe.

Cell lengths 4.281, 4.281, 4.281 Å; angles 60.00, 60.00, 60.00 degrees
Element x y z (fractional)
Zr1 0.250 0.250 0.250
Fe1 0.750 0.750 0.750
Ge1 0.000 0.000 0.000
Be1 0.500 0.500 0.500

Values from the calculation:
SG: F-43m (216)
electronic total energy: -6.34 eV/atom
volume: 55.5 Å³/cell
excess energy over the best structure of this formula in the dataset: 0.143 eV/atom

Density functional theory data (PBE-GGA) for a relaxed structure of TlZnCoAg.

Cell lengths 4.556, 4.556, 4.556 Å; angles 60.00, 60.00, 60.00 degrees
Element x y z (fractional)
Tl1 0.000 0.000 0.000
Ag1 0.250 0.250 0.250
Co1 0.750 0.750 0.750
Zn1 0.500 0.500 0.500

Values from the calculation:
SG: F-43m (216)
electronic total energy: -3.03 eV/atom
volume: 66.8 Å³/cell
excess energy over the best structure of this formula in the dataset: 0.000 eV/atom

Density functional theory data (PBE-GGA) for a relaxed structure of K2NaZn2H5C4O14.

Cell lengths 10.481, 10.769, 5.139 Å; angles 90.00, 93.09, 90.00 degrees
Element x y z (fractional)
C1 0.431 0.130 0.009
C2 0.069 0.630 0.491
C3 0.820 0.076 0.534
C4 0.680 0.576 0.966
C5 0.320 0.424 0.034
C6 0.180 0.924 0.466
C7 0.569 0.870 0.991
C8 0.931 0.370 0.509
Zn1 0.706 0.109 0.034
Zn2 0.294 0.891 0.966
Zn3 0.794 0.609 0.466
Zn4 0.206 0.391 0.534
O1 0.212 0.385 0.930
O2 0.589 0.548 0.121
O3 0.972 0.622 0.639
O4 0.053 0.673 0.259
O5 0.288 0.885 0.570
O6 0.180 0.594 0.584
O7 0.757 0.796 0.516
O8 0.660 0.564 0.719
O9 0.947 0.327 0.741
O10 0.820 0.406 0.416
O11 0.028 0.378 0.361
O12 0.340 0.436 0.281
O13 0.447 0.173 0.241
O14 0.089 0.952 0.621
O15 0.712 0.115 0.430
O16 0.257 0.704 0.016
O17 0.472 0.878 0.139
O18 0.553 0.827 0.759
O19 0.743 0.296 0.984
O20 0.411 0.452 0.879
O21 0.528 0.122 0.861
O22 0.243 0.204 0.484
O23 0.680 0.906 0.084
O24 0.788 0.615 0.070
O25 0.160 0.936 0.219
O26 0.911 0.048 0.379
O27 0.320 0.094 0.916
O28 0.840 0.064 0.781
K1 0.425 0.663 0.461
K2 0.075 0.163 0.039
K3 0.575 0.337 0.539
K4 0.925 0.837 0.961
Na1 0.500 0.000 0.500
Na2 0.000 0.500 0.000
H1 0.770 0.341 0.151
H2 0.320 0.193 0.372
H3 0.230 0.659 0.849
H4 0.180 0.693 0.128
H5 0.820 0.307 0.872
H6 0.270 0.159 0.651
H7 0.730 0.841 0.349
H8 0.500 0.500 0.000
H9 0.680 0.807 0.628
H10 0.000 0.000 0.500

Values from the calculation:
SG: P2_1/c (14)
electronic total energy: -6.06 eV/atom
volume: 579.2 Å³/cell

Density functional theory data (PBE-GGA) for a relaxed structure of Cs4PtC6S2N4O6F6.

Cell lengths 13.523, 13.523, 13.523 Å; angles 92.60, 92.60, 155.41 degrees
Element x y z (fractional)
N1 0.864 0.100 0.964
N2 0.100 0.136 0.237
N3 0.471 0.667 0.138
N4 0.667 0.529 0.196
N5 0.333 0.471 0.804
N6 0.900 0.864 0.763
N7 0.529 0.333 0.862
N8 0.136 0.900 0.036
O1 0.877 0.416 0.867
O2 0.010 0.877 0.461
O3 0.451 0.990 0.867
O4 0.123 0.584 0.133
O5 0.703 0.097 0.800
O6 0.297 0.903 0.200
O7 0.903 0.703 0.607
O8 0.416 0.549 0.539
O9 0.990 0.123 0.539
O10 0.549 0.010 0.133
O11 0.097 0.297 0.393
O12 0.584 0.451 0.461
Cs1 0.955 0.239 0.194
Cs2 0.707 0.359 0.066
Cs3 0.045 0.761 0.806
Cs4 0.761 0.955 0.717
Cs5 0.641 0.707 0.348
Cs6 0.359 0.293 0.652
Cs7 0.293 0.641 0.934
Cs8 0.239 0.045 0.283
C1 0.432 0.878 0.310
C2 0.482 0.605 0.086
C3 0.062 0.086 0.148
C4 0.568 0.122 0.690
C5 0.518 0.395 0.914
C6 0.914 0.062 0.976
C7 0.395 0.482 0.877
C8 0.086 0.938 0.024
C9 0.878 0.568 0.445
C10 0.605 0.518 0.123
C11 0.938 0.914 0.852
C12 0.122 0.432 0.555
F1 0.367 0.890 0.640
F2 0.633 0.110 0.360
F3 0.826 0.516 0.342
F4 0.174 0.484 0.658
F5 0.484 0.826 0.310
F6 0.110 0.749 0.476
F7 0.273 0.633 0.524
F8 0.727 0.367 0.476
F9 0.890 0.251 0.524
F10 0.516 0.174 0.690
F11 0.749 0.273 0.640
F12 0.251 0.727 0.360
S1 0.839 0.660 0.499
S2 0.660 0.161 0.820
S3 0.161 0.340 0.501
S4 0.340 0.839 0.180
Pt1 0.500 0.500 0.000
Pt2 0.000 0.000 0.000

Values from the calculation:
SG: I4/m (87)
electronic total energy: -6.15 eV/atom
volume: 1005.3 Å³/cell

Density functional theory data (PBE-GGA) for a relaxed structure of AlCdNi.

Cell lengths 4.196, 4.196, 4.196 Å; angles 60.00, 60.00, 60.00 degrees
Element x y z (fractional)
Cd1 0.750 0.750 0.750
Ni1 0.000 0.000 0.000
Al1 0.250 0.250 0.250

Values from the calculation:
SG: F-43m (216)
electronic total energy: -3.46 eV/atom
volume: 52.3 Å³/cell
excess energy over the best structure of this formula in the dataset: 0.000 eV/atom

Density functional theory data (PBE-GGA) for a relaxed structure of CdReO3.

Cell lengths 3.904, 3.904, 3.937 Å; angles 90.00, 90.00, 90.00 degrees
Element x y z (fractional)
O1 0.000 0.500 0.780
O2 0.500 0.000 0.780
O3 0.500 0.500 0.279
Re1 0.500 0.500 0.779
Cd1 0.000 0.000 0.282

Values from the calculation:
SG: P4mm (99)
electronic total energy: -6.63 eV/atom
volume: 60.0 Å³/cell

Density functional theory data (PBE-GGA) for a relaxed structure of BaSrGe2Pd.

Cell lengths 6.484, 6.484, 6.484 Å; angles 134.31, 134.31, 66.60 degrees
Element x y z (fractional)
Ge1 0.334 0.834 0.500
Ge2 0.834 0.334 0.500
Pd1 0.277 0.277 0.000
Ba1 0.614 0.614 0.000
Sr1 0.009 0.009 0.000

Values from the calculation:
SG: I4mm (107)
electronic total energy: -4.03 eV/atom
volume: 137.3 Å³/cell